Entry from Alexandria via LeMat-Bulk: CsAsPb2I8 after structural relaxation (PBE-GGA).

Lattice parameters (Å, degrees): 7.6804 8.0601 10.3711 73.24 79.37 75.13
Positions (direct):
1 I 0.8642 0.2830 0.7692
2 I 0.4027 0.2727 0.5190
3 I 0.1358 0.7170 0.2308
4 Cs 0.0000 0.0000 0.5000
5 Pb 0.4465 0.4347 0.7460
6 I 0.2512 0.2048 0.0146
7 I 0.5973 0.7273 0.4810
8 I 0.2625 0.8246 0.8157
9 I 0.7375 0.1754 0.1843
10 Pb 0.5535 0.5653 0.2540
11 As 0.0000 0.0000 0.0000
12 I 0.7488 0.7952 0.9854

Values from the calculation:
* uncorrected formation energy: -6.85 eV/f.u.
* SG: P-1 (2)
* magnetic moment: 0.0 μB per formula unit

---

Entry from Alexandria via LeMat-Bulk: Cs2AsPbI6 after structural relaxation (PBE-GGA).

Lattice parameters (Å, degrees): 8.6880 8.6880 8.6907 60.01 60.01 90.00
Positions (direct):
1 As 0.5000 0.5000 0.0000
2 I 0.7404 0.2596 0.0000
3 I 0.7394 0.7394 0.5213
4 Pb 0.0000 0.0000 0.0000
5 Cs 0.2500 0.7500 0.5000
6 Cs 0.7500 0.2500 0.5000
7 I 0.2596 0.7404 0.0000
8 I 0.7404 0.7404 0.0000
9 I 0.2606 0.2606 0.4787
10 I 0.2596 0.2596 0.0000

Values from the calculation:
* uncorrected formation energy: -7.85 eV/f.u.
* SG: I4/mmm (139)
* magnetic moment: 0.0 μB per formula unit

---

Entry from Alexandria via LeMat-Bulk: CsAsPbI6 after structural relaxation (PBE-GGA).

Lattice parameters (Å, degrees): 8.0345 8.0346 8.4853 90.00 90.00 60.00
Positions (direct):
1 Cs 0.0000 0.0000 0.0000
2 As 0.3333 0.3333 0.5000
3 I 0.0329 0.3559 0.2950
4 I 0.3558 0.6112 0.2950
5 I 0.6112 0.0329 0.2950
6 I 0.0329 0.6112 0.7050
7 I 0.3558 0.0330 0.7050
8 I 0.6112 0.3558 0.7050
9 Pb 0.6666 0.6667 0.5000

Values from the calculation:
* uncorrected formation energy: -5.63 eV/f.u.
* SG: P312 (149)
* magnetic moment: 0.0 μB per formula unit

---

> The highest uncorrected formation energy belongs to which entry?

CsAsPbI6

---

Please write out number 2 again, unchanged.
Entry from Alexandria via LeMat-Bulk: Cs2AsPbI6 after structural relaxation (PBE-GGA).

Lattice parameters (Å, degrees): 8.6880 8.6880 8.6907 60.01 60.01 90.00
Positions (direct):
1 As 0.5000 0.5000 0.0000
2 I 0.7404 0.2596 0.0000
3 I 0.7394 0.7394 0.5213
4 Pb 0.0000 0.0000 0.0000
5 Cs 0.2500 0.7500 0.5000
6 Cs 0.7500 0.2500 0.5000
7 I 0.2596 0.7404 0.0000
8 I 0.7404 0.7404 0.0000
9 I 0.2606 0.2606 0.4787
10 I 0.2596 0.2596 0.0000

Values from the calculation:
* uncorrected formation energy: -7.85 eV/f.u.
* SG: I4/mmm (139)
* magnetic moment: 0.0 μB per formula unit